(1)
Material: CsZnPtCl6
Method: DFT, PBE
State: optimized geometry

Computed properties:
Formation energy from raw total energies (meV/atom): -976.7
Crystal system: monoclinic
Space group: C2 (5)

Cell: 6.387 6.636 7.888 Å, 92.50 91.28 58.69°
Fractional coordinates of all 9 atoms:
Cl (0.620, 0.370, 0.693)
Cl (0.987, 0.640, 0.670)
Cl (0.987, 0.373, 0.330)
Zn (0.357, 0.321, 0.500)
Cs (0.015, 0.993, 0.000)
Cl (0.372, 0.988, 0.667)
Pt (0.669, 0.665, 0.500)
Cl (0.621, 0.009, 0.307)
Cl (0.372, 0.641, 0.333)

=====

(2)
Material: LiIrRh2
Method: DFT, PBE
State: optimized geometry

Computed properties:
ΔE_f (eV/atom): 0.019
Excess energy over the best structure of this formula in the dataset (eV/atom): 0.142
Crystal system: orthorhombic
Space group: Immm (71)

Cell: 4.941 4.941 4.941 Å, 145.83 127.67 64.00°
Fractional coordinates of all 4 atoms:
Rh (0.483, 0.483, 0.000)
Ir (0.750, 0.250, 0.500)
Rh (0.017, 0.017, 0.000)
Li (0.250, 0.750, 0.500)

=====

(3)
Material: Cs2KRb5Hg
Method: DFT, PBE
State: optimized geometry

Computed properties:
ΔE_f (eV/atom): -0.044
Crystal system: tetragonal
Space group: I4mm (107)

Cell: 10.208 10.208 10.208 Å, 90.06 119.97 119.97°
Fractional coordinates of all 9 atoms:
Rb (0.000, 0.747, 0.256)
Cs (0.500, 0.752, 0.252)
Rb (0.000, 0.256, 0.747)
Rb (0.000, 0.250, 0.250)
K (0.000, 0.748, 0.748)
Cs (0.500, 0.252, 0.752)
Rb (0.509, 0.256, 0.256)
Rb (0.491, 0.747, 0.747)
Hg (0.000, 0.993, 0.993)

=====

(4)
Material: PuSc2Mo
Method: DFT, PBE
State: optimized geometry

Computed properties:
ΔE_f (eV/atom): 0.199
Crystal system: tetragonal
Space group: P4/mmm (123)

Cell: 3.297 3.297 8.195 Å, 90.00 90.00 90.00°
Fractional coordinates of all 4 atoms:
Sc (0.000, 0.000, 0.803)
Pu (0.500, 0.500, 0.500)
Mo (0.500, 0.500, 0.000)
Sc (0.000, 0.000, 0.197)

=====

(5)
Material: RbBaNa14
Method: DFT, PBE
State: optimized geometry

Computed properties:
ΔE_f (eV/atom): 0.035
Crystal system: tetragonal
Space group: P4/mmm (123)

Cell: 8.224 8.224 9.961 Å, 90.00 90.00 89.99°
Fractional coordinates of all 16 atoms:
Rb (0.875, 0.875, 0.500)
Na (0.622, 0.128, 0.217)
Na (0.375, 0.375, 0.000)
Ba (0.375, 0.375, 0.500)
Na (0.622, 0.128, 0.783)
Na (0.875, 0.375, 0.000)
Na (0.875, 0.375, 0.500)
Na (0.128, 0.622, 0.783)
Na (0.622, 0.622, 0.217)
Na (0.128, 0.128, 0.217)
Na (0.875, 0.875, 0.000)
Na (0.128, 0.128, 0.783)
Na (0.375, 0.875, 0.000)
Na (0.375, 0.875, 0.500)
Na (0.622, 0.622, 0.783)
Na (0.128, 0.622, 0.217)

=====

(6)
Material: LiAcNi
Method: DFT, PBE
State: optimized geometry

Computed properties:
ΔE_f (eV/atom): -0.109
Excess energy over the best structure of this formula in the dataset (eV/atom): 0.043
Crystal system: monoclinic
Space group: C2/m (12)

Cell: 4.113 5.581 6.800 Å, 99.80 107.61 90.00°
Fractional coordinates of all 6 atoms:
Li (0.604, 0.805, 0.208)
Ac (0.131, 0.315, 0.263)
Li (0.396, 0.195, 0.792)
Ni (0.234, 0.864, 0.468)
Ni (0.766, 0.136, 0.532)
Ac (0.869, 0.685, 0.737)

=====

(7)
Material: Ac4GaGeBr2
Method: DFT, PBE
State: optimized geometry

Computed properties:
Formation energy from raw total energies (meV/atom): -1012.6
Crystal system: monoclinic
Space group: P2/m (10)

Cell: 4.668 8.092 7.909 Å, 110.06 90.00 90.00°
Fractional coordinates of all 8 atoms:
Ac (0.000, 0.260, 0.778)
Ge (0.000, 0.000, 0.000)
Ac (0.000, 0.740, 0.222)
Ga (0.500, 0.500, 0.000)
Br (0.000, 0.500, 0.500)
Br (0.500, 0.000, 0.500)
Ac (0.500, 0.759, 0.778)
Ac (0.500, 0.241, 0.222)

=====

(8)
Material: PuAs12Ir4
Method: DFT, PBE
State: optimized geometry

Computed properties:
ΔE_f (eV/atom): -0.279
Crystal system: cubic
Space group: Im-3 (204)

Cell: 7.506 7.506 7.506 Å, 109.47 109.47 109.47°
Fractional coordinates of all 17 atoms:
As (0.144, 0.485, 0.341)
As (0.485, 0.341, 0.144)
As (0.515, 0.659, 0.856)
As (0.803, 0.659, 0.144)
Ir (0.000, 0.000, 0.500)
Ir (0.500, 0.500, 0.500)
Ir (0.500, 0.000, 0.000)
As (0.341, 0.856, 0.197)
As (0.341, 0.144, 0.485)
As (0.856, 0.515, 0.659)
Pu (0.000, 0.000, 0.000)
As (0.856, 0.197, 0.341)
As (0.659, 0.144, 0.803)
As (0.659, 0.856, 0.515)
As (0.144, 0.803, 0.659)
Ir (0.000, 0.500, 0.000)
As (0.197, 0.341, 0.856)

=====

(9)
Material: PrTh2Rh2
Method: DFT, PBE
State: optimized geometry

Computed properties:
ΔE_f (eV/atom): -0.553
Crystal system: monoclinic
Space group: C2/m (12)

Cell: 5.169 5.169 6.181 Å, 114.89 114.89 90.00°
Fractional coordinates of all 5 atoms:
Rh (0.365, 0.365, 0.728)
Th (0.250, 0.750, 0.500)
Pr (0.000, 0.000, 0.000)
Th (0.750, 0.250, 0.500)
Rh (0.635, 0.635, 0.272)

=====

(10)
Material: BeRuW2
Method: DFT, PBE
State: optimized geometry

Computed properties:
ΔE_f (eV/atom): 0.196
Excess energy over the best structure of this formula in the dataset (eV/atom): 0.165
Crystal system: monoclinic
Space group: C2/m (12)

Cell: 5.352 4.844 2.733 Å, 83.43 72.33 117.83°
Fractional coordinates of all 4 atoms:
Be (0.000, 0.500, 0.500)
Ru (0.500, 0.500, 0.000)
W (0.000, 0.000, 0.000)
W (0.500, 0.000, 0.500)

=====

(11)
Material: LaBTe2I
Method: DFT, PBE
State: optimized geometry

Computed properties:
Formation energy from raw total energies (meV/atom): -158.5
Excess energy over the best structure of this formula in the dataset (eV/atom): 0.000
Crystal system: tetragonal
Space group: P4/mmm (123)

Cell: 5.054 5.054 5.214 Å, 90.00 90.00 90.00°
Fractional coordinates of all 5 atoms:
I (0.000, 0.000, 0.500)
La (0.500, 0.500, 0.500)
B (0.000, 0.000, 0.000)
Te (0.500, 0.000, 0.000)
Te (0.000, 0.500, 0.000)

=====

(12)
Material: In3Ag4Au4
Method: DFT, PBE
State: optimized geometry

Computed properties:
ΔE_f (eV/atom): -0.082
Excess energy over the best structure of this formula in the dataset (eV/atom): 0.000
Crystal system: triclinic
Space group: P-1 (2)

Cell: 3.365 3.889 16.519 Å, 96.32 95.74 90.27°
Fractional coordinates of all 11 atoms:
Au (0.182, 0.184, 0.365)
Ag (0.729, 0.729, 0.457)
Ag (0.271, 0.271, 0.543)
In (0.638, 0.638, 0.276)
Ag (0.092, 0.089, 0.181)
Au (0.549, 0.547, 0.093)
In (0.000, 0.000, 0.000)
Au (0.451, 0.453, 0.907)
Au (0.818, 0.816, 0.635)
Ag (0.908, 0.911, 0.819)
In (0.362, 0.362, 0.724)

=====

> Number 12 is which compound?

In3Ag4Au4

=====

> What is the formula in the twelfth record?

In3Ag4Au4

=====

Copy entry 12 word for word.
Material: In3Ag4Au4
Method: DFT, PBE
State: optimized geometry

Computed properties:
ΔE_f (eV/atom): -0.082
Excess energy over the best structure of this formula in the dataset (eV/atom): 0.000
Crystal system: triclinic
Space group: P-1 (2)

Cell: 3.365 3.889 16.519 Å, 96.32 95.74 90.27°
Fractional coordinates of all 11 atoms:
Au (0.182, 0.184, 0.365)
Ag (0.729, 0.729, 0.457)
Ag (0.271, 0.271, 0.543)
In (0.638, 0.638, 0.276)
Ag (0.092, 0.089, 0.181)
Au (0.549, 0.547, 0.093)
In (0.000, 0.000, 0.000)
Au (0.451, 0.453, 0.907)
Au (0.818, 0.816, 0.635)
Ag (0.908, 0.911, 0.819)
In (0.362, 0.362, 0.724)